# FePO4 GGA+U optimized geometry
# calculated total energy = -7.10 eV/atom
data_FePO4
_cell_length_a 10.1745
_cell_length_b 5.3584
_cell_length_c 10.1012
_cell_angle_alpha 54.94
_cell_angle_beta 90.00
_cell_angle_gamma 90.00
_symmetry_space_group_name_H-M 'P 1'
_symmetry_Int_Tables_number 1
loop_
_symmetry_equiv_pos_as_xyz
'x,y,z'
loop_
_atom_site_label
_atom_site_fract_x
_atom_site_fract_y
_atom_site_fract_z
_atom_site_occupancy
P1 0.1171 0.5297 0.1711 1
P2 0.8829 0.4703 0.8289 1
P3 0.6171 0.4703 0.3289 1
P4 0.3829 0.5297 0.6711 1
Fe1 0.6781 0.7293 0.5401 1
Fe2 0.1781 0.2707 0.9599 1
Fe3 0.3219 0.2707 0.4599 1
Fe4 0.8219 0.7293 0.0401 1
O1 0.0346 0.4947 0.8234 1
O2 0.3405 0.8597 0.5379 1
O3 0.6777 0.6876 0.3670 1
O4 0.6595 0.1403 0.4621 1
O5 0.3223 0.3124 0.6330 1
O6 0.1660 0.4345 0.3385 1
O7 0.8223 0.6876 0.8670 1
O8 0.6660 0.5655 0.1615 1
O9 0.1595 0.8597 0.0379 1
O10 0.4654 0.4947 0.3234 1
O11 0.9654 0.5053 0.1766 1
O12 0.8340 0.5655 0.6615 1
O13 0.3340 0.4345 0.8385 1
O14 0.5346 0.5053 0.6766 1
O15 0.1777 0.3124 0.1330 1
O16 0.8405 0.1403 0.9621 1